No. 1
CsNaCa2Rh: optimized geometry, GGA-PBE.

a = 5.9870 Å, b = 5.9870 Å, c = 6.0849 Å
α = 90.00°, β = 90.00°, γ = 90.00°
Closest atoms and distances in Å follow each position.
Space group P4/mmm (No. 123)
One atom of each set of equivalent atoms:
Cs 0.0000 0.0000 0.0000  2 Na 3.04
Na 0.0000 0.0000 0.5000  4 Ca 2.99, 2 Cs 3.04
Ca 0.0000 0.5000 0.5000  2 Na 2.99
Rh 0.5000 0.5000 0.0000  4 Cs 4.23, 8 Ca 4.27

Properties
- calculated formation energy (eV per formula unit) = 5.30
- DFT total energy (eV per cell) = -8.23


No. 2
La2CuW: optimized geometry, GGA-PBE.

a = 3.5552 Å, b = 3.5552 Å, c = 7.7215 Å
α = 90.00°, β = 90.00°, γ = 90.00°
Closest atoms and distances in Å follow each position.
Space group P4/mmm (No. 123)
One atom of each set of equivalent atoms:
La 0.0000 0.0000 0.2426  4 W 3.14, 4 Cu 3.20
Cu 0.5000 0.5000 0.5000  8 La 3.20, 4 Cu 3.56
W 0.5000 0.5000 0.0000  8 La 3.14

Properties
- calculated formation energy (eV per formula unit) = 1.61
- DFT total energy (eV per cell) = -25.29


No. 3
ZnCuO: optimized geometry, GGA-PBE.

a = 4.2397 Å, b = 5.5170 Å, c = 3.0360 Å
α = 90.00°, β = 90.00°, γ = 90.00°
Closest atoms and distances in Å follow each position.
Space group Pmn2_1 (No. 31)
One atom of each set of equivalent atoms:
Zn 0.0000 0.1506 0.0000  4 O 2.03-2.14
Cu 0.0000 0.5500 0.5077  1 O 1.97
O 0.0000 0.9064 0.5001  1 Cu 1.97, 4 Zn 2.03-2.14

Properties
- ΔE_f (raw) (eV per atom) = -0.59
- DFT total energy (eV per cell) = -24.19


Please write out number 2 again, unchanged.
La2CuW: optimized geometry, GGA-PBE.

a = 3.5552 Å, b = 3.5552 Å, c = 7.7215 Å
α = 90.00°, β = 90.00°, γ = 90.00°
Closest atoms and distances in Å follow each position.
Space group P4/mmm (No. 123)
One atom of each set of equivalent atoms:
La 0.0000 0.0000 0.2426  4 W 3.14, 4 Cu 3.20
Cu 0.5000 0.5000 0.5000  8 La 3.20, 4 Cu 3.56
W 0.5000 0.5000 0.0000  8 La 3.14

Properties
- calculated formation energy (eV per formula unit) = 1.61
- DFT total energy (eV per cell) = -25.29


Copy entry 3 word for word.
ZnCuO: optimized geometry, GGA-PBE.

a = 4.2397 Å, b = 5.5170 Å, c = 3.0360 Å
α = 90.00°, β = 90.00°, γ = 90.00°
Closest atoms and distances in Å follow each position.
Space group Pmn2_1 (No. 31)
One atom of each set of equivalent atoms:
Zn 0.0000 0.1506 0.0000  4 O 2.03-2.14
Cu 0.0000 0.5500 0.5077  1 O 1.97
O 0.0000 0.9064 0.5001  1 Cu 1.97, 4 Zn 2.03-2.14

Properties
- ΔE_f (raw) (eV per atom) = -0.59
- DFT total energy (eV per cell) = -24.19


Look up the DFT total energy of the first one.
-8.23 eV per cell